[1]
PBE SrAlBr2, relaxed; spin magnetization = 0.0000 μB per atom; symmetry = R-3m, No. 166; raw formation energy = -964 meV/atom; density = 2.7 g cm⁻³
1.0
-9.5929 0.8655 4.1648
-7.1404 2.8222 7.1532
-8.4599 5.0168 3.6580
Sr Al Br
1 1 2
Direct
0.5000 0.5000 0.5000 Sr
0.0000 0.0000 0.0000 Al
0.8896 0.8896 0.8896 Br
0.1104 0.1104 0.1104 Br

[2]
PBE SrAlBr2, relaxed; spin magnetization = 0.2402 μB per atom; symmetry = Amm2, No. 38; raw formation energy = -911 meV/atom; density = 3.2 g cm⁻³
1.0
-3.7275 3.8767 2.6529
-3.2773 -1.0988 -2.9991
-3.2786 -4.2919 1.6652
Sr Al Br
1 1 2
Direct
0.0000 0.3235 0.4783 Sr
0.5000 0.7372 0.6505 Al
0.0000 0.0271 0.0710 Br
0.5000 0.4123 0.3001 Br

[3]
PBE SrAlBr2, relaxed; spin magnetization = 0.0124 μB per atom; symmetry = Cmm2, No. 35; raw formation energy = -832 meV/atom; density = 3.4 g cm⁻³
1.0
3.8521 0.0117 0.0000
-0.8194 3.7640 0.0000
0.0000 0.0000 9.1756
Sr Al Br
1 1 2
Direct
0.0000 0.0000 0.5082 Sr
0.5000 0.5000 0.7560 Al
0.0000 0.0000 0.9142 Br
0.5000 0.5000 0.3215 Br

[4]
PBE SrAl2Br, relaxed; spin magnetization = 0.0979 μB per atom; symmetry = R3m, No. 160; raw formation energy = -519 meV/atom; density = 2.6 g cm⁻³
1.0
-1.2079 2.7298 8.0882
-3.8893 -0.8427 7.6481
0.4826 -1.4085 8.4919
Sr Al Br
1 2 1
Direct
0.7413 0.7413 0.7413 Sr
0.9764 0.9764 0.9764 Al
0.3070 0.3070 0.3070 Al
0.4753 0.4753 0.4753 Br

Which of these has the lowest raw formation energy?
number 1